# NaCa2MgB

A relaxed structure of NaCa2MgB (PBE-GGA, Alexandria via LeMat-Bulk).

Cell lengths 5.816, 5.816, 5.045 Å; angles 90.00, 90.00, 90.00 degrees
Element x y z (fractional)
1 Na 0.000 0.000 0.000
2 Ca 0.000 0.500 0.000
3 Ca 0.500 0.000 0.000
4 Mg 0.000 0.000 0.500
5 B 0.500 0.500 0.500

E = -1.358 eV per atom
space-group type = P4/mmm
energy relative to the lowest polymorph listed for this composition = 963.3 meV per atom
volume = 170.6 Å³/cell
density of states at the Fermi level = 4.1 states/eV/cell
total magnetic moment = 0.000 μB/atom
energy of formation = 1361 meV/atom


# Ca2MgB2Pt5

A relaxed structure of Ca2MgB2Pt5 (PBE-GGA, Alexandria via LeMat-Bulk).

Cell lengths 9.942, 9.942, 3.175 Å; angles 90.00, 90.00, 90.00 degrees
Element x y z (fractional)
1 Ca 0.178 0.322 0.000
2 Ca 0.322 0.822 0.000
3 Ca 0.678 0.178 0.000
4 Ca 0.822 0.678 0.000
5 Mg 0.000 0.000 0.000
6 Mg 0.500 0.500 0.000
7 B 0.122 0.622 0.000
8 B 0.378 0.122 0.000
9 B 0.622 0.878 0.000
10 B 0.878 0.378 0.000
11 Pt 0.000 0.500 0.500
12 Pt 0.068 0.773 0.500
13 Pt 0.227 0.068 0.500
14 Pt 0.273 0.568 0.500
15 Pt 0.432 0.273 0.500
16 Pt 0.500 0.000 0.500
17 Pt 0.568 0.727 0.500
18 Pt 0.727 0.432 0.500
19 Pt 0.773 0.932 0.500
20 Pt 0.932 0.227 0.500

E = -5.580 eV per atom
space-group type = P4/mbm
volume = 313.9 Å³/cell
density of states at the Fermi level = 7.8 states/eV/cell
total magnetic moment = 0.000 μB/atom
energy of formation = -664 meV/atom


Q: energy of formation of number 2 (Ca2MgB2Pt5)?
A: -664 meV/atom